1.
Entry from the Alexandria database: a relaxed structure of LaCoMo2 (PBE-GGA).

Cell and atoms, written as POSCAR:
```
LaCoMo2
1.0
1.4408 0.8318 9.7883
-1.4408 0.8318 9.7883
0.0000 -1.6637 9.7883
La Co Mo
1 1 2
Cartesian
0.0000 0.0000 0.0000
0.0000 0.0000 14.6825
0.0000 0.0000 6.8989
0.0000 0.0000 22.4661
```

## Properties
The value obtained for the formation enthalpy at 0 K is 0.748 eV/atom. As for the space group: R-3m (166).

2.
Entry from the Alexandria database: a relaxed structure of ZrTa3Mn (PBE-GGA).

Cell and atoms, written as POSCAR:
```
ZrTa3Mn
1.0
4.6368 0.0000 0.0000
0.0000 4.6368 0.0000
0.0000 0.0000 4.6368
Zr Ta Mn
1 3 1
Cartesian
0.0000 0.0000 0.0000
0.0000 2.3184 2.3184
2.3184 0.0000 2.3184
2.3184 2.3184 0.0000
2.3184 2.3184 2.3184
```

## Properties
The value obtained for the formation enthalpy at 0 K is 0.594 eV/atom. As for the space group: Pm-3m (221).

3.
Entry from the Alexandria database: a relaxed structure of AcYMnSe4 (PBE-GGA).

Cell and atoms, written as POSCAR:
```
AcYMnSe4
1.0
6.8586 0.0000 0.0000
0.0000 6.9966 0.0000
-2.4485 0.0000 7.9463
Ac Y Mn Se
2 2 2 8
Cartesian
1.4479 1.7492 0.4505
2.9622 5.2475 7.4958
0.1789 1.7492 4.4174
4.2312 5.2475 3.5289
0.8680 5.2475 2.5424
3.5421 1.7492 5.4038
-1.6771 3.5737 5.8389
-1.6771 6.9213 5.8389
2.7342 5.2475 0.9776
1.6820 5.2475 4.8154
2.7282 1.7492 3.1308
1.6760 1.7492 6.9686
6.0872 0.0754 2.1073
6.0872 3.4229 2.1073
```

## Properties
The raw formation energy comes out at -1.4437 eV per atom. As for the space group: P2_1/m (11).

4.
Entry from the Alexandria database: a relaxed structure of Y2MnBr (PBE-GGA).

Cell and atoms, written as POSCAR:
```
Y2MnBr
1.0
-2.4226 2.4226 4.2346
2.4226 -2.4226 4.2346
2.4226 2.4226 -4.2346
Y Mn Br
2 1 1
Cartesian
2.4226 0.0000 2.1173
0.0000 2.4226 2.1173
0.0000 0.0000 0.0000
0.0000 0.0000 4.2346
```

## Properties
The raw formation energy comes out at -0.0080 eV per atom. As for the space group: I4/mmm (139).

Total moment, record by record: 0.41 0.00 4.96 2.53 μB/f.u.